No. 1
! ZrFePt6, relaxed, DFT GGA-PBE; values from VASP
! Energy relative to the elements = -0.626 eV/atom
! DOS(E_F) = 0.65 states/eV per atom
&SYSTEM
  ibrav = 0, nat = 8, ntyp = 3
/
ATOMIC_SPECIES
Zr 91.22 Zr.upf
Fe 55.84 Fe.upf
Pt 195.08 Pt.upf
CELL_PARAMETERS angstrom
3.998 0.000 0.000
0.000 3.998 0.000
0.000 0.000 7.938
ATOMIC_POSITIONS angstrom
Zr 0.000 0.000 0.000
Fe 0.000 0.000 3.969
Pt 0.000 1.999 2.047
Pt 0.000 1.999 5.891
Pt 1.999 0.000 2.047
Pt 1.999 0.000 5.891
Pt 1.999 1.999 0.000
Pt 1.999 1.999 3.969

---

No. 2
! ZrFePt2, relaxed, DFT GGA-PBE; values from VASP
! Energy relative to the elements = -0.626 eV/atom
! DOS(E_F) = 0.76 states/eV per atom
&SYSTEM
  ibrav = 0, nat = 4, ntyp = 3
/
ATOMIC_SPECIES
Zr 91.22 Zr.upf
Fe 55.84 Fe.upf
Pt 195.08 Pt.upf
CELL_PARAMETERS angstrom
3.031 0.000 0.000
0.000 3.805 0.000
0.000 0.000 5.656
ATOMIC_POSITIONS angstrom
Zr 0.000 0.000 0.000
Fe 0.000 0.000 2.828
Pt 1.516 1.903 1.489
Pt 1.516 1.903 4.167

---

No. 3
! Zr2FePt, relaxed, DFT GGA-PBE; values from VASP
! Energy relative to the elements = -0.565 eV/atom
! Excess energy over the best structure of this formula in the dataset = 0.0 meV per atom
! DOS(E_F) = 1.04 states/eV per atom
&SYSTEM
  ibrav = 0, nat = 4, ntyp = 3
/
ATOMIC_SPECIES
Zr 91.22 Zr.upf
Fe 55.84 Fe.upf
Pt 195.08 Pt.upf
CELL_PARAMETERS angstrom
3.285 0.000 0.000
0.000 3.285 0.000
0.000 0.000 6.564
ATOMIC_POSITIONS angstrom
Zr 0.000 0.000 1.546
Zr 0.000 0.000 5.018
Fe 1.643 1.643 0.000
Pt 1.643 1.643 3.282

---

No. 4
! ZrFePt, relaxed, DFT GGA-PBE; values from VASP
! Energy relative to the elements = -0.189 eV/atom
! DOS(E_F) = 0.80 states/eV per atom
&SYSTEM
  ibrav = 0, nat = 3, ntyp = 3
/
ATOMIC_SPECIES
Zr 91.22 Zr.upf
Fe 55.84 Fe.upf
Pt 195.08 Pt.upf
CELL_PARAMETERS angstrom
0.000 3.008 3.008
3.008 0.000 3.008
3.008 3.008 0.000
ATOMIC_POSITIONS angstrom
Zr 0.000 0.000 0.000
Fe 4.511 4.511 4.511
Pt 3.008 3.008 3.008

---

No. 5
! Zr2FePt, relaxed, DFT GGA-PBE; values from VASP
! Energy relative to the elements = -0.353 eV/atom
! Excess energy over the best structure of this formula in the dataset = 211.7 meV per atom
! DOS(E_F) = 0.55 states/eV per atom
&SYSTEM
  ibrav = 0, nat = 4, ntyp = 3
/
ATOMIC_SPECIES
Zr 91.22 Zr.upf
Fe 55.84 Fe.upf
Pt 195.08 Pt.upf
CELL_PARAMETERS angstrom
3.651 0.000 0.000
0.000 3.651 0.000
0.000 0.000 5.680
ATOMIC_POSITIONS angstrom
Zr 0.000 0.000 0.000
Zr 1.825 1.825 2.028
Fe 0.000 0.000 2.670
Pt 1.825 1.825 4.748

---

No. 6
! Zr5Fe2Pt, relaxed, DFT GGA-PBE; values from VASP
! Energy relative to the elements = -0.374 eV/atom
! DOS(E_F) = 0.87 states/eV per atom
&SYSTEM
  ibrav = 0, nat = 16, ntyp = 3
/
ATOMIC_SPECIES
Zr 91.22 Zr.upf
Fe 55.84 Fe.upf
Pt 195.08 Pt.upf
CELL_PARAMETERS angstrom
-3.437 3.437 6.361
3.437 -3.437 6.361
3.437 3.437 -6.361
ATOMIC_POSITIONS angstrom
Zr 0.000 0.000 0.000
Zr 4.554 1.117 -1.806
Zr 1.117 2.320 -1.806
Zr 4.554 1.117 1.806
Zr 1.117 2.320 1.806
Zr 0.000 0.000 6.361
Zr 2.320 1.117 4.555
Zr -1.117 2.320 4.555
Zr 2.320 1.117 8.166
Zr -1.117 2.320 8.166
Fe 2.497 0.940 0.000
Fe 2.497 -0.940 6.361
Fe 0.940 4.377 0.000
Fe 0.940 2.497 6.361
Pt 0.000 0.000 3.180
Pt 0.000 0.000 9.541

---

No. 7
! ZrFePt, relaxed, DFT GGA-PBE; values from VASP
! Energy relative to the elements = 0.151 eV/atom
! DOS(E_F) = 1.84 states/eV per atom
&SYSTEM
  ibrav = 0, nat = 3, ntyp = 3
/
ATOMIC_SPECIES
Zr 91.22 Zr.upf
Fe 55.84 Fe.upf
Pt 195.08 Pt.upf
CELL_PARAMETERS angstrom
0.000 3.097 3.097
3.097 0.000 3.097
3.097 3.097 0.000
ATOMIC_POSITIONS angstrom
Zr 0.000 0.000 0.000
Fe 4.645 4.645 4.645
Pt 1.548 1.548 1.548

---

No. 8
! ZrFePt, relaxed, DFT GGA-PBE; values from VASP
! Energy relative to the elements = -0.346 eV/atom
! DOS(E_F) = 1.02 states/eV per atom
&SYSTEM
  ibrav = 0, nat = 3, ntyp = 3
/
ATOMIC_SPECIES
Zr 91.22 Zr.upf
Fe 55.84 Fe.upf
Pt 195.08 Pt.upf
CELL_PARAMETERS angstrom
-1.491 1.491 5.590
1.491 -1.491 5.590
1.491 1.491 -5.590
ATOMIC_POSITIONS angstrom
Zr 0.000 0.000 0.000
Fe 0.000 0.000 3.650
Pt 0.000 0.000 7.669